No. 1
## CdPd4Au3 (PBE)

Data for a relaxed CdPd4Au3 crystal. Values from VASP.

Structure (Quantum ESPRESSO input):
```
&SYSTEM
  ibrav = 0, nat = 16, ntyp = 3
/
ATOMIC_SPECIES
Au 196.97 Au.upf
Pd 106.42 Pd.upf
Cd 112.41 Cd.upf
CELL_PARAMETERS angstrom
4.7473 0.0000 0.0000
0.0000 6.1077 0.0000
0.0000 0.0000 9.3263
ATOMIC_POSITIONS crystal
Au 0.5916 0.5000 0.7500
Au 0.5996 0.0000 0.7500
Au 0.4084 0.5000 0.2500
Au 0.4004 0.0000 0.2500
Au 0.0000 0.0000 0.5000
Au 0.0000 0.0000 0.0000
Pd 0.5000 0.7506 0.5000
Pd 0.9001 0.7512 0.2500
Pd 0.5000 0.2494 0.5000
Pd 0.5000 0.2494 0.0000
Pd 0.9001 0.2488 0.2500
Pd 0.0999 0.7512 0.7500
Pd 0.5000 0.7506 0.0000
Pd 0.0999 0.2488 0.7500
Cd 0.0000 0.5000 0.5000
Cd 0.0000 0.5000 0.0000
```

crystal system = orthorhombic
magnetic moment = 0.000 μB/atom
distance to the lowest polymorph of the same formula = 0.000 eV/f.u.
energy = -66.08 eV for the cell shown
energy of formation from the pure elements = -4.382 kcal/mol of atoms
SG = No. 51

=====

No. 2
## Cd3Pd12Au (PBE)

Data for a relaxed Cd3Pd12Au crystal. Values from VASP.

Structure (Quantum ESPRESSO input):
```
&SYSTEM
  ibrav = 0, nat = 16, ntyp = 3
/
ATOMIC_SPECIES
Pd 106.42 Pd.upf
Cd 112.41 Cd.upf
Au 196.97 Au.upf
CELL_PARAMETERS angstrom
4.0218 0.0000 0.0000
0.0000 4.0218 0.0000
0.0000 0.0000 16.0922
ATOMIC_POSITIONS crystal
Pd 0.5000 0.0000 0.6256
Pd 0.5000 0.0000 0.1237
Pd 0.5000 0.5000 0.2487
Pd 0.0000 0.5000 0.1237
Pd 0.5000 0.0000 0.3744
Pd 0.5000 0.5000 0.5000
Pd 0.5000 0.5000 0.7513
Pd 0.0000 0.5000 0.6256
Pd 0.0000 0.5000 0.8763
Pd 0.5000 0.5000 0.0000
Pd 0.5000 0.0000 0.8763
Pd 0.0000 0.5000 0.3744
Cd 0.0000 0.0000 0.5000
Cd 0.0000 0.0000 0.2492
Cd 0.0000 0.0000 0.7508
Au 0.0000 0.0000 0.0000
```

crystal system = tetragonal
magnetic moment = 0.000 μB/atom
energy = -71.35 eV for the cell shown
energy of formation from the pure elements = -4.347 kcal/mol of atoms
SG = No. 123